No. 1
Compound: Ce2NdI8
Source: the Alexandria database
Functional: PBE
Structure: relaxed

abc: 9.9709 9.9709 6.4922
angles: 90.00 90.00 120.00
Fractional positions:
Ce 0.3333 0.6667 0.2214
Ce 0.6667 0.3333 0.7786
Nd 0.0000 0.0000 0.0000
I 0.1537 0.3074 0.2579
I 0.1537 0.8463 0.2579
I 0.3074 0.1537 0.7421
I 0.3333 0.6667 0.7310
I 0.6667 0.3333 0.2690
I 0.6926 0.8463 0.2579
I 0.8463 0.1537 0.7421
I 0.8463 0.6926 0.7421

Calculated values
M_tot = 3.04 μB per cell
formation energy (no corrections) = -1.1844 eV per atom
crystal system = trigonal
SG = P-3m1



No. 2
Compound: Dy12Er6Mg
Source: the Alexandria database
Functional: PBE
Structure: relaxed

abc: 8.4328 8.4328 8.4328
angles: 88.63 88.63 88.63
Fractional positions:
Dy 0.0394 0.2800 0.9339
Dy 0.0661 0.9606 0.7200
Dy 0.1364 0.3147 0.4870
Dy 0.2800 0.9339 0.0394
Dy 0.3147 0.4870 0.1364
Dy 0.4870 0.1364 0.3147
Dy 0.5130 0.8636 0.6853
Dy 0.6853 0.5130 0.8636
Dy 0.7200 0.0661 0.9606
Dy 0.8636 0.6853 0.5130
Dy 0.9339 0.0394 0.2800
Dy 0.9606 0.7200 0.0661
Er 0.2060 0.5970 0.7607
Er 0.2393 0.7940 0.4030
Er 0.4030 0.2393 0.7940
Er 0.5970 0.7607 0.2060
Er 0.7607 0.2060 0.5970
Er 0.7940 0.4030 0.2393
Mg 0.5000 0.5000 0.5000

Calculated values
M_tot = 0.00 μB per cell
crystal system = trigonal
energy of formation from the pure elements = 0.138 eV per atom
ΔE to the lowest computed polymorph = 0 meV per atom
SG = R-3



No. 3
Compound: Pr2MgHg2
Source: the Alexandria database
Functional: PBE
Structure: relaxed

abc: 8.0333 8.0333 8.0333
angles: 124.40 75.23 133.63
Fractional positions:
Pr 0.1627 0.1802 0.3429
Pr 0.3373 0.6802 0.0174
Pr 0.6627 0.3198 0.9826
Pr 0.8373 0.8198 0.6571
Mg 0.2500 0.7500 0.5000
Mg 0.7500 0.2500 0.5000
Hg 0.0955 0.7723 0.8678
Hg 0.4045 0.2723 0.6768
Hg 0.5955 0.7277 0.3232
Hg 0.9045 0.2277 0.1322

Calculated values
M_tot = 0.00 μB per cell
crystal system = orthorhombic
energy of formation from the pure elements = -0.265 eV per atom
ΔE to the lowest computed polymorph = 122 meV per atom
SG = Ibam



No. 4
Compound: CdSi2W
Source: the Alexandria database
Functional: PBE
Structure: relaxed

abc: 4.9131 4.9131 4.9131
angles: 137.80 124.96 71.71
Fractional positions:
Cd 0.0000 0.0000 0.0000
Si 0.2558 0.7558 0.5000
Si 0.7442 0.2442 0.5000
W 0.5000 0.5000 0.0000

Calculated values
M_tot = 0.00 μB per cell
formation energy (no corrections) = 0.4814 eV per atom
crystal system = orthorhombic
SG = Immm



No. 5
Compound: NbTlSn2
Source: the Alexandria database
Functional: PBE
Structure: relaxed

abc: 11.3785 11.3785 11.3785
angles: 16.22 16.22 16.22
Fractional positions:
Nb 0.0000 0.0000 0.0000
Tl 0.5000 0.5000 0.5000
Sn 0.4040 0.4040 0.4040
Sn 0.5960 0.5960 0.5960

Calculated values
M_tot = 0.00 μB per cell
crystal system = trigonal
energy of formation from the pure elements = 0.089 eV per atom
ΔE to the lowest computed polymorph = 0 meV per atom
SG = R-3m



No. 6
Compound: InSbN2
Source: the Alexandria database
Functional: PBE
Structure: relaxed

abc: 6.4575 6.4575 6.4575
angles: 133.30 133.30 68.18
Fractional positions:
In 0.0000 0.0000 0.0000
In 0.7500 0.2500 0.5000
Sb 0.2500 0.7500 0.5000
Sb 0.5000 0.5000 0.0000
N 0.1181 0.6250 0.9931
N 0.3750 0.3681 0.4931
N 0.6319 0.1250 0.0069
N 0.8750 0.8819 0.5069

Calculated values
M_tot = 0.00 μB per cell
formation energy (no corrections) = 0.5588 eV per atom
crystal system = tetragonal
ΔE to the lowest computed polymorph = 127 meV per atom
SG = I-42d